No. 1
DFT (PBE with a Hubbard U) results for a relaxed Mn3CdF8 crystal.

## Properties
Crystal system: orthorhombic
D(E_F): 0.000 states/eV/atom
DFT total energy: -5.68 eV per atom

Unit cell a=5.5826 b=10.5737 c=6.5473 alpha=90.00 beta=90.00 gamma=90.00
Space group C222 (No. 21)
One atom of each set of equivalent atoms:
Mn 0.0000 0.0000 0.0000
Mn 0.2500 0.2500 0.7539
Cd 0.0000 0.0000 0.5000
F 0.0000 0.2074 0.0000
F 0.0000 0.2163 0.5000
F 0.2464 0.0462 0.7615

=====

No. 2
DFT (PBE with a Hubbard U) results for a relaxed MnCdF4 crystal.

## Properties
Crystal system: orthorhombic
D(E_F): 0.000 states/eV/atom
Relative energy among the computed polymorphs: 0.0 kJ/mol of formula units
DFT total energy: -5.08 eV per atom

Unit cell a=7.1974 b=7.2070 c=3.4469 alpha=90.00 beta=90.00 gamma=90.00
Space group Cmmm (No. 65)
One atom of each set of equivalent atoms:
Mn 0.0000 0.0000 0.0000
Cd 0.0000 0.5000 0.5000
F 0.0000 0.1856 0.5000
F 0.2045 0.5000 0.0000

=====

No. 3
DFT (PBE with a Hubbard U) results for a relaxed Mn2CdF crystal.

## Properties
Crystal system: tetragonal
D(E_F): 0.462 states/eV/atom
Relative energy among the computed polymorphs: 0.0 kJ/mol of formula units
DFT total energy: -4.85 eV per atom

Unit cell a=6.7665 b=6.7665 c=6.6890 alpha=90.00 beta=90.00 gamma=90.00
Space group I-42d (No. 122)
One atom of each set of equivalent atoms:
Mn 0.1764 0.2500 0.1250
Cd 0.0000 0.0000 0.5000
F 0.0000 0.0000 0.0000

=====

No. 4
DFT (PBE with a Hubbard U) results for a relaxed MnCd2F6 crystal.

## Properties
Crystal system: tetragonal
D(E_F): 0.000 states/eV/atom
DFT total energy: -4.64 eV per atom

Unit cell a=5.1203 b=5.1203 c=10.4831 alpha=90.00 beta=90.00 gamma=90.00
Space group P4_2/mnm (No. 136)
One atom of each set of equivalent atoms:
Mn 0.0000 0.0000 0.0000
Cd 0.0000 0.0000 0.3338
F 0.1893 0.1893 0.1596
F 0.2040 0.2040 0.5000

=====

No. 5
DFT (PBE with a Hubbard U) results for a relaxed MnCdF3 crystal.

## Properties
Crystal system: cubic
D(E_F): 0.189 states/eV/atom
Relative energy among the computed polymorphs: 214.7 kJ/mol of formula units
DFT total energy: -4.40 eV per atom

Unit cell a=4.4495 b=4.4495 c=4.4495 alpha=90.00 beta=90.00 gamma=90.00
Space group Pm-3m (No. 221)
One atom of each set of equivalent atoms:
Mn 0.0000 0.0000 0.0000
Cd 0.5000 0.5000 0.5000
F 0.0000 0.5000 0.5000

=====

No. 6
DFT (PBE with a Hubbard U) results for a relaxed MnCd2F crystal.

## Properties
Crystal system: cubic
D(E_F): 0.271 states/eV/atom
Relative energy among the computed polymorphs: 73.8 kJ/mol of formula units
DFT total energy: -3.06 eV per atom

Unit cell a=6.8650 b=6.8650 c=6.8650 alpha=90.00 beta=90.00 gamma=90.00
Space group Fm-3m (No. 225)
One atom of each set of equivalent atoms:
Mn 0.0000 0.0000 0.0000
Cd 0.2500 0.2500 0.2500
F 0.0000 0.0000 0.5000

=====

No. 7
DFT (PBE with a Hubbard U) results for a relaxed MnCd2F7 crystal.

## Properties
Crystal system: trigonal
D(E_F): 0.055 states/eV/atom
DFT total energy: -4.39 eV per atom

Unit cell a=3.8767 b=3.8767 c=32.0012 alpha=90.00 beta=90.00 gamma=120.00
Space group R-3m (No. 166, hexagonal axes)
One atom of each set of equivalent atoms:
Mn 0.0000 0.0000 0.0000
Cd 0.0000 0.0000 0.4329
F 0.0000 0.0000 0.0578
F 0.0000 0.0000 0.2304
F 0.0000 0.0000 0.3488
F 0.0000 0.0000 0.5000

=====

No. 8
DFT (PBE with a Hubbard U) results for a relaxed MnCd4F10 crystal.

## Properties
Crystal system: trigonal
D(E_F): 0.000 states/eV/atom
DFT total energy: -4.28 eV per atom

Unit cell a=3.8468 b=3.8468 c=47.1684 alpha=90.00 beta=90.00 gamma=120.00
Space group R-3m (No. 166, hexagonal axes)
One atom of each set of equivalent atoms:
Mn 0.0000 0.0000 0.0000
Cd 0.0000 0.0000 0.2007
Cd 0.0000 0.0000 0.3980
F 0.0000 0.0000 0.0472
F 0.0000 0.0000 0.1498
F 0.0000 0.0000 0.2515
F 0.0000 0.0000 0.3480
F 0.0000 0.0000 0.4489

=====

No. 9
DFT (PBE with a Hubbard U) results for a relaxed Mn3CdF crystal.

## Properties
Crystal system: cubic
D(E_F): 0.250 states/eV/atom
Relative energy among the computed polymorphs: 0.0 kJ/mol of formula units
DFT total energy: -5.15 eV per atom

Unit cell a=4.5235 b=4.5235 c=4.5235 alpha=90.00 beta=90.00 gamma=90.00
Space group Pm-3m (No. 221)
One atom of each set of equivalent atoms:
Mn 0.0000 0.0000 0.5000
Cd 0.5000 0.5000 0.5000
F 0.0000 0.0000 0.0000

=====

No. 10
DFT (PBE with a Hubbard U) results for a relaxed Mn2CdF6 crystal.

## Properties
Crystal system: tetragonal
D(E_F): 0.000 states/eV/atom
Relative energy among the computed polymorphs: 0.0 kJ/mol of formula units
DFT total energy: -5.53 eV per atom

Unit cell a=5.0473 b=5.0473 c=10.2467 alpha=90.00 beta=90.00 gamma=90.00
Space group P4_2/mnm (No. 136)
One atom of each set of equivalent atoms:
Mn 0.0000 0.0000 0.1672
Cd 0.0000 0.0000 0.5000
F 0.1855 0.1855 0.0000
F 0.1995 0.1995 0.3260

=====

No. 11
DFT (PBE with a Hubbard U) results for a relaxed MnCd2F crystal.

## Properties
Crystal system: tetragonal
D(E_F): 0.320 states/eV/atom
Relative energy among the computed polymorphs: 0.0 kJ/mol of formula units
DFT total energy: -3.26 eV per atom

Unit cell a=7.6818 b=7.6818 c=5.4282 alpha=90.00 beta=90.00 gamma=90.00
Space group I-42d (No. 122)
One atom of each set of equivalent atoms:
Mn 0.0000 0.0000 0.0000
Cd 0.2008 0.2500 0.6250
F 0.0000 0.0000 0.5000

=====

No. 12
DFT (PBE with a Hubbard U) results for a relaxed Mn2CdF7 crystal.

## Properties
Crystal system: trigonal
D(E_F): 0.091 states/eV/atom
DFT total energy: -5.22 eV per atom

Unit cell a=3.8025 b=3.8025 c=29.8078 alpha=90.00 beta=90.00 gamma=120.00
Space group R-3m (No. 166, hexagonal axes)
One atom of each set of equivalent atoms:
Mn 0.0000 0.0000 0.0650
Cd 0.0000 0.0000 0.5000
F 0.0000 0.0000 0.0000
F 0.0000 0.0000 0.1369
F 0.0000 0.0000 0.2800
F 0.0000 0.0000 0.4238